No. 1
Material: ThInAu
Method: DFT, PBE
State: relaxed

Calculated values
**DFT formation energy**: -0.512 eV per atom
**Total energy**: -14.971 eV per formula unit
**DOS(E_F)**: 3.00 states/eV per cell

Cell: 6.582 6.582 5.173 Å, 90.00 90.00 136.59°
Fractional coordinates of all 6 atoms:
1 Th 0.114 0.886 0.750
2 Th 0.886 0.114 0.250
3 In 0.413 0.587 0.750
4 In 0.587 0.413 0.250
5 Au 0.238 0.762 0.250
6 Au 0.762 0.238 0.750


No. 2
Material: Th4InAu
Method: DFT, PBE
State: relaxed

Calculated values
**DFT formation energy**: -0.291 eV per atom
**Total energy**: -37.441 eV per formula unit
**DOS(E_F)**: 14.22 states/eV per cell
**Energy above the lowest structure with this stoichiometry**: 0.0000 eV per atom

Cell: 7.725 7.725 5.879 Å, 90.00 90.00 90.00°
Fractional coordinates of all 12 atoms:
1 Th 0.149 0.339 0.000
2 Th 0.149 0.661 0.500
3 Th 0.339 0.149 0.500
4 Th 0.339 0.851 0.000
5 Th 0.661 0.149 0.000
6 Th 0.661 0.851 0.500
7 Th 0.851 0.339 0.500
8 Th 0.851 0.661 0.000
9 In 0.500 0.500 0.250
10 In 0.500 0.500 0.750
11 Au 0.000 0.000 0.250
12 Au 0.000 0.000 0.750


No. 3
Material: Th4InAu
Method: DFT, PBE
State: relaxed

Calculated values
**DFT formation energy**: -0.184 eV per atom
**Total energy**: -36.801 eV per formula unit
**DOS(E_F)**: 17.37 states/eV per cell
**Energy above the lowest structure with this stoichiometry**: 0.1066 eV per atom

Cell: 8.248 8.248 8.248 Å, 125.49 125.49 80.73°
Fractional coordinates of all 12 atoms:
1 Th 0.017 0.517 0.808
2 Th 0.209 0.017 0.500
3 Th 0.291 0.791 0.808
4 Th 0.483 0.291 0.500
5 Th 0.517 0.709 0.500
6 Th 0.709 0.209 0.192
7 Th 0.791 0.983 0.500
8 Th 0.983 0.483 0.192
9 In 0.000 0.000 0.000
10 In 0.500 0.500 0.000
11 Au 0.250 0.250 0.000
12 Au 0.750 0.750 0.000


No. 4
Material: ThInAu
Method: DFT, PBE
State: relaxed

Calculated values
**DFT formation energy**: -0.419 eV per atom
**Total energy**: -14.691 eV per formula unit
**DOS(E_F)**: 2.52 states/eV per cell

Cell: 6.411 6.411 6.411 Å, 147.82 147.82 46.15°
Fractional coordinates of all 3 atoms:
1 Th 0.000 0.000 0.000
2 In 0.696 0.696 0.000
3 Au 0.338 0.338 0.000


No. 5
Material: Th5In4Au
Method: DFT, PBE
State: relaxed

Calculated values
**DFT formation energy**: -0.344 eV per atom
**Total energy**: -54.773 eV per formula unit
**DOS(E_F)**: 12.85 states/eV per cell

Cell: 3.498 3.498 22.794 Å, 90.00 90.00 90.00°
Fractional coordinates of all 10 atoms:
1 Th 0.000 0.000 0.000
2 Th 0.000 0.000 0.204
3 Th 0.000 0.000 0.409
4 Th 0.000 0.000 0.591
5 Th 0.000 0.000 0.796
6 In 0.500 0.500 0.102
7 In 0.500 0.500 0.307
8 In 0.500 0.500 0.693
9 In 0.500 0.500 0.898
10 Au 0.500 0.500 0.500


No. 6
Material: Th2In8Au
Method: DFT, PBE
State: relaxed

Calculated values
**DFT formation energy**: -0.288 eV per atom
**Total energy**: -43.197 eV per formula unit
**DOS(E_F)**: 5.77 states/eV per cell

Cell: 4.799 4.799 12.448 Å, 90.00 90.00 90.00°
Fractional coordinates of all 11 atoms:
1 Th 0.000 0.000 0.186
2 Th 0.000 0.000 0.814
3 In 0.000 0.500 0.000
4 In 0.000 0.500 0.371
5 In 0.000 0.500 0.629
6 In 0.500 0.000 0.000
7 In 0.500 0.000 0.371
8 In 0.500 0.000 0.629
9 In 0.500 0.500 0.187
10 In 0.500 0.500 0.813
11 Au 0.000 0.000 0.500


No. 7
Material: Th3In2Au8
Method: DFT, PBE
State: relaxed

Calculated values
**DFT formation energy**: -0.276 eV per atom
**Total energy**: -57.542 eV per formula unit
**DOS(E_F)**: 10.60 states/eV per cell

Cell: 12.157 12.157 12.157 Å, 26.80 26.80 26.80°
Fractional coordinates of all 13 atoms:
1 Th 0.000 0.000 0.000
2 Th 0.235 0.235 0.235
3 Th 0.765 0.765 0.765
4 In 0.395 0.395 0.395
5 In 0.605 0.605 0.605
6 Au 0.194 0.704 0.704
7 Au 0.296 0.296 0.806
8 Au 0.296 0.806 0.296
9 Au 0.317 0.317 0.317
10 Au 0.683 0.683 0.683
11 Au 0.704 0.194 0.704
12 Au 0.704 0.704 0.194
13 Au 0.806 0.296 0.296


No. 8
Material: Th4InAu7
Method: DFT, PBE
State: relaxed

Calculated values
**DFT formation energy**: -0.520 eV per atom
**Total energy**: -61.601 eV per formula unit
**DOS(E_F)**: 8.84 states/eV per cell

Cell: 7.721 7.721 9.614 Å, 120.07 120.07 39.24°
Fractional coordinates of all 12 atoms:
1 Th 0.069 0.069 0.256
2 Th 0.229 0.229 0.783
3 Th 0.771 0.771 0.217
4 Th 0.931 0.931 0.744
5 In 0.500 0.500 0.500
6 Au 0.000 0.000 0.500
7 Au 0.163 0.163 0.047
8 Au 0.314 0.314 0.553
9 Au 0.409 0.409 0.146
10 Au 0.591 0.591 0.854
11 Au 0.686 0.686 0.447
12 Au 0.837 0.837 0.953


What is the total energy in the first record? -14.971 eV per formula unit